Entry 1:
CrCd2Sb: relaxed, PBE.

Unit cell a=3.1952 b=3.1952 c=8.7619 alpha=90.00 beta=90.00 gamma=90.00
Last column: magnetic moment on the atom in μB.
Positions (direct):
Cd 0.0000 0.0000 0.0238  0.01
Cd 0.5000 0.5000 0.2785  -0.02
Cr 0.0000 0.0000 0.4987  3.32
Sb 0.5000 0.5000 0.6990  -0.08

Results
Space-group type: P4mm (99)
Total moment in μB per formula unit: 3.499
DFT total energy in eV per atom: -3.658

Entry 2:
Pr2Nd2Y7: relaxed, PBE.

Unit cell a=7.0642 b=7.5928 c=7.5928 alpha=96.47 beta=75.99 gamma=75.99
Positions (direct):
Pr 0.9215 0.3683 0.3683
Pr 0.0785 0.6317 0.6317
Nd 0.5000 0.1599 0.8401
Nd 0.5000 0.8401 0.1599
Y 0.1927 0.0782 0.5780
Y 0.8073 0.4220 0.9218
Y 0.8073 0.9218 0.4220
Y 0.1927 0.5780 0.0782
Y 0.0000 0.0000 0.0000
Y 0.5119 0.6895 0.6895
Y 0.4881 0.3105 0.3105

Results
Space-group type: C2/m (12)
Total moment in μB per formula unit: 0.000
DFT total energy in eV per atom: -5.637
ΔH_f (0 K) in eV per atom: 0.213
ΔE to the lowest computed polymorph in meV/atom: 93

Entry 3:
BaNaPmF6: relaxed, PBE.

Unit cell a=6.0753 b=6.0753 c=11.0735 alpha=90.00 beta=90.00 gamma=120.00
Positions (direct):
Ba 0.0000 0.0000 0.0000
Ba 0.0000 0.0000 0.5000
Na 0.6667 0.3333 0.2500
Na 0.3333 0.6667 0.7500
Pm 0.3333 0.6667 0.2500
Pm 0.6667 0.3333 0.7500
F 0.6420 0.6521 0.1401
F 0.0102 0.3580 0.1401
F 0.3580 0.0102 0.6401
F 0.9898 0.6420 0.8599
F 0.3479 0.3580 0.3599
F 0.0102 0.6521 0.3599
F 0.6521 0.0102 0.8599
F 0.6420 0.9898 0.3599
F 0.9898 0.3479 0.6401
F 0.3479 0.9898 0.1401
F 0.6521 0.6420 0.6401
F 0.3580 0.3479 0.8599

Results
Space-group type: P-31c (163)
Total moment in μB per formula unit: 0.199
DFT total energy in eV per atom: -5.814